Below is RbPuOsO6 after structural relaxation, with properties calculated at the PBE-GGA level.

The density of states at the Fermi level is 21.18 states/eV per cell. As for the total DFT energy (no corrections): -8.131 eV per atom. The value obtained for the formation energy from raw total energies is -1.878 eV/atom. As for the crystal system: orthorhombic.

The space group is Imma (No. 74) and the conventional cell measures 7.346, 7.745 and 10.652 Å, with angles of 90.00, 90.00 and 90.00 degrees. The distinct sites, in fractional coordinates, are Rb at (0.000, 0.250, 0.113), Pu at (0.000, 0.000, 0.500), Os at (0.250, 0.250, 0.750), O at (0.000, 0.250, 0.422), O at (0.000, 0.250, 0.788) and O at (0.211, 0.072, 0.625).


Below is BaTa2Br after structural relaxation, with properties calculated at the PBE-GGA level.

The density of states at the Fermi level is 9.52 states/eV per cell. As for the total DFT energy (no corrections): -6.479 eV per atom. The energy above the lowest structure with this stoichiometry is 215 meV/atom. The value obtained for the formation energy from raw total energies is 0.346 eV/atom. As for the crystal system: orthorhombic.

The space group is Cmm2 (No. 35) and the conventional cell measures 3.841, 5.365 and 9.761 Å, with angles of 90.00, 90.00 and 90.00 degrees. The distinct sites, in fractional coordinates, are Ba at (0.000, 0.000, 0.000), Ta at (0.000, 0.000, 0.487), Ta at (0.000, 0.500, 0.301) and Br at (0.000, 0.500, 0.721).


Below is Mg5Ag6Sn after structural relaxation, with properties calculated at the PBE-GGA level.

The density of states at the Fermi level is 6.04 states/eV per cell. As for the total DFT energy (no corrections): -2.626 eV per atom. The formation energy comes out at -0.202 eV per atom. As for the crystal system: orthorhombic.

The space group is Cmmm (No. 65) and the conventional cell measures 4.725, 14.159 and 6.790 Å, with angles of 90.00, 90.00 and 90.00 degrees. The distinct sites, in fractional coordinates, are Mg at (0.000, 0.000, 0.000), Mg at (0.000, 0.332, 0.000), Mg at (0.000, 0.335, 0.500), Ag at (0.000, 0.171, 0.247), Ag at (0.000, 0.500, 0.231) and Sn at (0.000, 0.000, 0.500).


Below is Na7UO6 after structural relaxation, with properties calculated at the PBE-GGA level.

The density of states at the Fermi level is 7.94 states/eV per cell. As for the total DFT energy (no corrections): -5.457 eV per atom. The value obtained for the formation energy from raw total energies is -1.866 eV/atom. As for the crystal system: trigonal.

The space group is R3 (No. 146, hexagonal axes) and the conventional cell measures 6.6179, 6.6179 and 16.1648 Å, with angles of 90.00, 90.00 and 120.00 degrees. The distinct sites, in fractional coordinates, are Na at (0.0000, 0.0000, 0.0000), Na at (0.0663, 0.3406, 0.8760), Na at (0.0784, 0.6861, 0.0931), U at (0.0000, 0.0000, 0.6507), O at (0.0013, 0.7321, 0.5734) and O at (0.0347, 0.4063, 0.3939).